[1]
9
Lattice="5.0060 -8.7025 0.0000 5.0060 8.7025 0.0000 0.0000 0.0000 3.5676" Properties=species:S:1:pos:R:3 comment="La2PmSm6 (PBE, relaxed)" total_magnetization_mub_per_cell=0.00 formation_enthalpy_0k_ev_per_atom=0.0523 de_polymorph_mev_per_atom=0.0 pbc="T T T"
La 5.0060 5.8010 0.0000
La 5.0060 -5.8010 0.0000
Pm 5.0060 0.0000 0.0000
Sm 1.6857 0.0000 1.7838
Sm 3.3399 2.8870 1.7838
Sm 3.3399 -2.8870 1.7838
Sm 6.6722 2.8870 1.7838
Sm 6.6722 -2.8870 1.7838
Sm 8.3264 0.0000 1.7838



[2]
18
Lattice="9.3693 -3.2381 0.0000 9.3693 3.2381 0.0000 -4.3100 0.0000 10.6143" Properties=species:S:1:pos:R:3 comment="LaPm3Sm5 (PBE, relaxed)" total_magnetization_mub_per_cell=0.00 formation_enthalpy_0k_ev_per_atom=0.2720 de_polymorph_mev_per_atom=0.0 pbc="T T T"
La 6.1368 2.3693 7.9607
La 8.2918 -2.3693 2.6536
Pm 0.0000 0.0000 0.0000
Pm -2.1550 0.0000 5.3071
Pm 4.2640 1.2513 5.1358
Pm 12.3196 1.2513 0.1713
Pm 2.1091 -1.2513 10.4430
Pm 10.1646 -1.2513 5.4785
Sm 5.6385 2.0601 1.3623
Sm 2.7872 1.3305 8.3673
Sm 10.9451 2.0601 3.9448
Sm 8.2918 0.6416 2.6536
Sm 9.4865 1.3305 7.5541
Sm 4.9421 -1.3305 3.0602
Sm 6.1368 -0.6416 7.9607
Sm 3.4835 -2.0601 6.6695
Sm 11.6415 -1.3305 2.2470
Sm 8.7901 -2.0601 9.2520